(1)
Here is crystalline Nd8Ho6Pu at its relaxed geometry from the Alexandria database. Energies are from PBE-GGA.

a = 5.904 Å, b = 9.921 Å, c = 9.921 Å
α = 120.00°, β = 90.00°, γ = 90.00°
Fractional positions:
Nd  0.233  0.667  0.333
Ho  0.252  0.523  0.617
Ho  0.747  0.906  0.525
Ho  0.252  0.094  0.477
Ho  0.747  0.619  0.094
Ho  0.252  0.383  0.906
Nd  0.766  0.333  0.667
Nd  0.239  0.949  0.735
Nd  0.760  0.216  0.949
Nd  0.239  0.786  0.051
Nd  0.239  0.265  0.214
Ho  0.747  0.475  0.381
Nd  0.760  0.732  0.784
Nd  0.760  0.051  0.268
Pu  0.505  0.000  0.000

## Properties
density of states at the Fermi level = 1.4287 states/eV/atom
energy of formation = 135.8 meV per atom

---

(2)
Here is crystalline Y2HgRh at its relaxed geometry from the Alexandria database. Energies are from PBE-GGA.

a = 4.947 Å, b = 4.947 Å, c = 4.947 Å
α = 60.00°, β = 60.00°, γ = 60.00°
Fractional positions:
Rh  0.750  0.750  0.750
Y  0.250  0.250  0.250
Hg  0.500  0.500  0.500
Y  0.000  0.000  0.000

## Properties
density of states at the Fermi level = 0.8594 states/eV/atom
energy of formation = -343.6 meV per atom

---

(3)
Here is crystalline Tb3Nd7Y2 at its relaxed geometry from the Alexandria database. Energies are from PBE-GGA.

a = 3.642 Å, b = 5.841 Å, c = 19.515 Å
α = 98.61°, β = 90.00°, γ = 90.00°
Fractional positions:
Tb  0.500  0.685  0.369
Y  0.000  0.149  0.297
Nd  0.500  0.928  0.855
Tb  0.500  0.500  0.000
Nd  0.000  0.768  0.536
Nd  0.000  0.000  0.000
Nd  0.000  0.232  0.464
Tb  0.500  0.315  0.631
Y  0.000  0.851  0.703
Nd  0.000  0.593  0.186
Nd  0.000  0.407  0.814
Nd  0.500  0.072  0.145

## Properties
E above lowest polymorph = 0.042 eV per atom
density of states at the Fermi level = 1.6317 states/eV/atom
energy of formation = 111.4 meV per atom

---

(4)
Here is crystalline AcPr4Mg5 at its relaxed geometry from the Alexandria database. Energies are from PBE-GGA.

a = 3.955 Å, b = 3.955 Å, c = 19.792 Å
α = 90.00°, β = 90.00°, γ = 90.00°
Fractional positions:
Pr  0.000  0.000  0.598
Ac  0.000  0.000  0.000
Mg  0.500  0.500  0.304
Mg  0.500  0.500  0.889
Mg  0.500  0.500  0.696
Mg  0.500  0.500  0.500
Pr  0.000  0.000  0.402
Pr  0.000  0.000  0.207
Pr  0.000  0.000  0.793
Mg  0.500  0.500  0.111

## Properties
density of states at the Fermi level = 1.0836 states/eV/atom
energy of formation = -106.6 meV per atom

---

(5)
Here is crystalline Pm8PS6 at its relaxed geometry from the Alexandria database. Energies are from PBE-GGA.

a = 4.136 Å, b = 10.219 Å, c = 10.219 Å
α = 120.00°, β = 90.00°, γ = 90.00°
Fractional positions:
S  0.246  0.348  0.868
Pm  0.741  0.710  0.679
S  0.754  0.481  0.348
Pm  0.259  0.290  0.321
S  0.246  0.132  0.481
Pm  0.259  0.679  0.969
S  0.754  0.652  0.132
P  0.500  0.000  0.000
Pm  0.741  0.969  0.290
Pm  0.259  0.031  0.710
S  0.246  0.519  0.652
Pm  0.747  0.333  0.667
S  0.754  0.868  0.519
Pm  0.253  0.667  0.333
Pm  0.741  0.321  0.031

## Properties
density of states at the Fermi level = 0.5273 states/eV/atom
raw formation energy = -1537 meV/atom

---

(6)
Here is crystalline SrCa3As at its relaxed geometry from the Alexandria database. Energies are from PBE-GGA.

a = 5.833 Å, b = 5.833 Å, c = 5.833 Å
α = 90.00°, β = 90.00°, γ = 90.00°
Fractional positions:
Ca  0.000  0.500  0.000
Ca  0.000  0.000  0.500
Ca  0.500  0.000  0.000
As  0.000  0.000  0.000
Sr  0.500  0.500  0.500

## Properties
E above lowest polymorph = 0.000 eV per atom
density of states at the Fermi level = 0.3956 states/eV/atom
energy of formation = -473.7 meV per atom

---

(7)
Here is crystalline CsBeS2N at its relaxed geometry from the Alexandria database. Energies are from PBE-GGA.

a = 5.744 Å, b = 5.744 Å, c = 4.768 Å
α = 90.00°, β = 90.00°, γ = 90.00°
Fractional positions:
N  0.000  0.000  0.500
Be  0.500  0.500  0.500
S  0.000  0.500  0.000
S  0.500  0.000  0.000
Cs  0.000  0.000  0.000

## Properties
density of states at the Fermi level = 0.7258 states/eV/atom
raw formation energy = 2309 meV/atom

---

(8)
Here is crystalline NaHf2Ir at its relaxed geometry from the Alexandria database. Energies are from PBE-GGA.

a = 7.752 Å, b = 7.752 Å, c = 6.242 Å
α = 51.61°, β = 51.61°, γ = 90.00°
Fractional positions:
Hf  0.875  0.928  0.750
Hf  0.072  0.625  0.250
Na  0.250  0.750  0.500
Na  0.500  0.500  0.000
Hf  0.678  0.125  0.250
Ir  0.750  0.250  0.500
Hf  0.375  0.322  0.750
Ir  0.000  0.000  0.000

## Properties
density of states at the Fermi level = 0.6253 states/eV/atom
energy of formation = 214.3 meV per atom

---

(9)
Here is crystalline Ca2CdSiBi at its relaxed geometry from the Alexandria database. Energies are from PBE-GGA.

a = 5.880 Å, b = 4.697 Å, c = 5.880 Å
α = 90.00°, β = 90.00°, γ = 90.00°
Fractional positions:
Ca  0.000  0.000  0.500
Cd  0.000  0.000  0.000
Bi  0.500  0.500  0.500
Ca  0.500  0.000  0.000
Si  0.000  0.500  0.000

## Properties
density of states at the Fermi level = 0.7172 states/eV/atom
raw formation energy = 131 meV/atom

---

(10)
Here is crystalline Cs2Rb2Ga at its relaxed geometry from the Alexandria database. Energies are from PBE-GGA.

a = 9.835 Å, b = 9.835 Å, c = 7.969 Å
α = 90.00°, β = 90.00°, γ = 90.00°
Fractional positions:
Cs  0.688  0.812  0.500
Rb  0.164  0.336  0.000
Rb  0.336  0.836  0.000
Ga  0.000  0.000  0.000
Cs  0.812  0.312  0.500
Cs  0.188  0.688  0.500
Cs  0.312  0.188  0.500
Rb  0.664  0.164  0.000
Rb  0.836  0.664  0.000
Ga  0.500  0.500  0.000

## Properties
density of states at the Fermi level = 0.8418 states/eV/atom
energy of formation = 192.6 meV per atom

---

(11)
Here is crystalline CdOs at its relaxed geometry from the Alexandria database. Energies are from PBE-GGA.

a = 2.875 Å, b = 2.876 Å, c = 8.893 Å
α = 90.00°, β = 71.29°, γ = 90.00°
Fractional positions:
Cd  0.223  0.500  0.274
Cd  0.027  0.000  0.976
Os  0.781  0.500  0.720
Os  0.469  0.000  0.530

## Properties
density of states at the Fermi level = 0.4767 states/eV/atom
energy of formation = 237.5 meV per atom

---

(12)
Here is crystalline PuTl2Ag2Te4 at its relaxed geometry from the Alexandria database. Energies are from PBE-GGA.

a = 4.444 Å, b = 8.486 Å, c = 8.326 Å
α = 109.53°, β = 105.48°, γ = 90.00°
Fractional positions:
Te  0.201  0.211  0.401
Pu  0.000  0.000  0.000
Te  0.509  0.754  0.018
Ag  0.683  0.989  0.366
Tl  0.868  0.421  0.736
Te  0.799  0.789  0.599
Te  0.491  0.246  0.982
Tl  0.132  0.579  0.264
Ag  0.317  0.011  0.634

## Properties
density of states at the Fermi level = 1.5091 states/eV/atom
raw formation energy = -451 meV/atom

---

Result set for total energy: -77.9, -22.0, -58.9, -32.3, -91.2, -14.7, -9.6, -58.5, -13.6, -11.4, -23.3, -41.4 eV for the cell shown, one per record in the order listed.